Arrangement one

Density functional theory data (PBEsol) for a relaxed OsRhSe2 crystal.

The structure in CIF format:
```
data_OsRhSe2
_symmetry_space_group_name_H-M 'I m m 2'
_symmetry_Int_Tables_number 44
_cell_length_a 2.972
_cell_length_b 4.422
_cell_length_c 9.458
_cell_angle_alpha 90.00
_cell_angle_beta 90.00
_cell_angle_gamma 90.00
loop_
_symmetry_equiv_pos_as_xyz
'x,y,z'
'-x,-y,z'
'-x,y,z'
'x,-y,z'
'x+1/2,y+1/2,z+1/2'
'-x+1/2,-y+1/2,z+1/2'
'-x+1/2,y+1/2,z+1/2'
'x+1/2,-y+1/2,z+1/2'
loop_
_atom_site_label
_atom_site_type_symbol
_atom_site_fract_x
_atom_site_fract_y
_atom_site_fract_z
_atom_site_occupancy
Os1 Os 0.000 0.000 0.000 1
Rh1 Rh 0.000 0.500 0.770 1
Se1 Se 0.000 0.000 0.503 1
Se2 Se 0.000 0.500 0.286 1
```

Computed properties:
The density comes out at 12.05 g cm⁻³. For the density of states at the Fermi level, the calculation gives 0.76 states/eV per atom. The value obtained for the total magnetic moment is 0.0 Bohr magnetons per cell.



Arrangement two

Density functional theory data (PBEsol) for a relaxed OsRhSe2 crystal.

The structure in CIF format:
```
data_OsRhSe2
_symmetry_space_group_name_H-M 'R -3 m'
_symmetry_Int_Tables_number 166
_symmetry_space_group_name_Hall '-R 3 2"'
_cell_length_a 3.0194
_cell_length_b 3.0194
_cell_length_c 23.2307
_cell_angle_alpha 90.00
_cell_angle_beta 90.00
_cell_angle_gamma 120.00
loop_
_atom_site_label
_atom_site_type_symbol
_atom_site_fract_x
_atom_site_fract_y
_atom_site_fract_z
_atom_site_occupancy
Os1 Os 0.0000 0.0000 0.0000 1
Rh1 Rh 0.0000 0.0000 0.5000 1
Se1 Se 0.0000 0.0000 0.2507 1
```

Computed properties:
The density comes out at 12.25 g cm⁻³. For the density of states at the Fermi level, the calculation gives 0.89 states/eV per atom. The value obtained for the total magnetic moment is 0.0 Bohr magnetons per cell.



The most stable arrangement is arrangement two, and the next structure is 140 meV per atom less stable.



Arrangement one

Density functional theory data (PBEsol) for a relaxed Sr2OsRh crystal.

The structure in CIF format:
```
data_Sr2OsRh
_symmetry_space_group_name_H-M 'C 1 2/m 1'
_symmetry_Int_Tables_number 12
_cell_length_a 9.359
_cell_length_b 3.006
_cell_length_c 6.076
_cell_angle_alpha 90.00
_cell_angle_beta 96.46
_cell_angle_gamma 90.00
loop_
_symmetry_equiv_pos_as_xyz
'x,y,z'
'-x,-y,-z'
'-x,y,-z'
'x,-y,z'
'x+1/2,y+1/2,z'
'-x+1/2,-y+1/2,-z'
'-x+1/2,y+1/2,-z'
'x+1/2,-y+1/2,z'
loop_
_atom_site_label
_atom_site_type_symbol
_atom_site_fract_x
_atom_site_fract_y
_atom_site_fract_z
_atom_site_occupancy
Sr1 Sr 0.249 0.000 0.246 1
Os1 Os 0.000 0.000 0.500 1
Rh1 Rh 0.000 0.500 0.000 1
```

Computed properties:
The density comes out at 9.16 g cm⁻³. For the density of states at the Fermi level, the calculation gives 0.54 states/eV per atom. The value obtained for the total magnetic moment is 0.0 Bohr magnetons per cell.



Arrangement two

Density functional theory data (PBEsol) for a relaxed Sr2OsRh crystal.

The structure in CIF format:
```
data_Sr2OsRh
_symmetry_space_group_name_H-M 'F m -3 m'
_symmetry_Int_Tables_number 225
_symmetry_space_group_name_Hall '-F 4 2 3'
_cell_length_a 7.064
_cell_length_b 7.064
_cell_length_c 7.064
_cell_angle_alpha 90.00
_cell_angle_beta 90.00
_cell_angle_gamma 90.00
loop_
_atom_site_label
_atom_site_type_symbol
_atom_site_fract_x
_atom_site_fract_y
_atom_site_fract_z
_atom_site_occupancy
Sr1 Sr 0.250 0.250 0.250 1
Os1 Os 0.000 0.000 0.000 1
Rh1 Rh 0.000 0.000 0.500 1
```

Computed properties:
The density comes out at 8.83 g cm⁻³. For the density of states at the Fermi level, the calculation gives 1.98 states/eV per atom. The value obtained for the total magnetic moment is 1.2 Bohr magnetons per cell.



The most stable arrangement is arrangement two, and the next structure is 75 meV per atom less stable.



Arrangement one

Density functional theory data (PBEsol) for a relaxed SrOs2Rh crystal.

The structure in CIF format:
```
data_SrOs2Rh
_symmetry_space_group_name_H-M 'I 4/m m m'
_symmetry_Int_Tables_number 139
_symmetry_space_group_name_Hall '-I 4 2'
_cell_length_a 3.913
_cell_length_b 3.913
_cell_length_c 8.808
_cell_angle_alpha 90.00
_cell_angle_beta 90.00
_cell_angle_gamma 90.00
loop_
_atom_site_label
_atom_site_type_symbol
_atom_site_fract_x
_atom_site_fract_y
_atom_site_fract_z
_atom_site_occupancy
Sr1 Sr 0.000 0.000 0.000 1
Os1 Os 0.000 0.500 0.250 1
Rh1 Rh 0.000 0.000 0.500 1
```

Computed properties:
The density comes out at 14.06 g cm⁻³. For the density of states at the Fermi level, the calculation gives 1.18 states/eV per atom. The value obtained for the total magnetic moment is 0.0 Bohr magnetons per cell.



Arrangement two

Density functional theory data (PBEsol) for a relaxed SrOs2Rh crystal.

The structure in CIF format:
```
data_SrOs2Rh
_symmetry_space_group_name_H-M 'P 4/m m m'
_symmetry_Int_Tables_number 123
_symmetry_space_group_name_Hall '-P 4 2'
_cell_length_a 3.831
_cell_length_b 3.831
_cell_length_c 4.629
_cell_angle_alpha 90.00
_cell_angle_beta 90.00
_cell_angle_gamma 90.00
loop_
_atom_site_label
_atom_site_type_symbol
_atom_site_fract_x
_atom_site_fract_y
_atom_site_fract_z
_atom_site_occupancy
Sr1 Sr 0.000 0.000 0.000 1
Os1 Os 0.000 0.500 0.500 1
Rh1 Rh 0.500 0.500 0.000 1
```

Computed properties:
The density comes out at 13.96 g cm⁻³. For the density of states at the Fermi level, the calculation gives 1.33 states/eV per atom. The value obtained for the total magnetic moment is 0.0 Bohr magnetons per cell.



Arrangement three

Density functional theory data (PBEsol) for a relaxed SrOs2Rh crystal.

The structure in CIF format:
```
data_SrOs2Rh
_symmetry_space_group_name_H-M 'I m m m'
_symmetry_Int_Tables_number 71
_symmetry_space_group_name_Hall '-I 2 2'
_cell_length_a 2.763
_cell_length_b 4.632
_cell_length_c 10.564
_cell_angle_alpha 90.00
_cell_angle_beta 90.00
_cell_angle_gamma 90.00
loop_
_atom_site_label
_atom_site_type_symbol
_atom_site_fract_x
_atom_site_fract_y
_atom_site_fract_z
_atom_site_occupancy
Sr1 Sr 0.000 0.000 0.000 1
Os1 Os 0.000 0.500 0.218 1
Rh1 Rh 0.000 0.000 0.500 1
```

Computed properties:
The density comes out at 14.03 g cm⁻³. For the density of states at the Fermi level, the calculation gives 0.87 states/eV per atom. The value obtained for the total magnetic moment is 0.0 Bohr magnetons per cell.



The most stable arrangement is arrangement three, and the next structure is 408 meV per atom less stable.



Arrangement one

Density functional theory data (PBEsol) for a relaxed TaOsRh2 crystal.

The structure in CIF format:
```
data_TaOsRh2
_symmetry_space_group_name_H-M 'P 4/m m m'
_symmetry_Int_Tables_number 123
_symmetry_space_group_name_Hall '-P 4 2'
_cell_length_a 3.845
_cell_length_b 3.845
_cell_length_c 3.887
_cell_angle_alpha 90.00
_cell_angle_beta 90.00
_cell_angle_gamma 90.00
loop_
_atom_site_label
_atom_site_type_symbol
_atom_site_fract_x
_atom_site_fract_y
_atom_site_fract_z
_atom_site_occupancy
Ta1 Ta 0.000 0.000 0.000 1
Os1 Os 0.500 0.500 0.000 1
Rh1 Rh 0.000 0.500 0.500 1
```

Computed properties:
The density comes out at 16.67 g cm⁻³. For the density of states at the Fermi level, the calculation gives 0.78 states/eV per atom. The value obtained for the total magnetic moment is 0.0 Bohr magnetons per cell.



Arrangement two

Density functional theory data (PBEsol) for a relaxed TaOsRh2 crystal.

The structure in CIF format:
```
data_TaOsRh2
_symmetry_space_group_name_H-M 'I 4/m m m'
_symmetry_Int_Tables_number 139
_symmetry_space_group_name_Hall '-I 4 2'
_cell_length_a 3.844
_cell_length_b 3.844
_cell_length_c 7.800
_cell_angle_alpha 90.00
_cell_angle_beta 90.00
_cell_angle_gamma 90.00
loop_
_atom_site_label
_atom_site_type_symbol
_atom_site_fract_x
_atom_site_fract_y
_atom_site_fract_z
_atom_site_occupancy
Ta1 Ta 0.000 0.000 0.000 1
Os1 Os 0.000 0.000 0.500 1
Rh1 Rh 0.000 0.500 0.250 1
```

Computed properties:
The density comes out at 16.62 g cm⁻³. For the density of states at the Fermi level, the calculation gives 0.54 states/eV per atom. The value obtained for the total magnetic moment is 0.0 Bohr magnetons per cell.



The most stable arrangement is arrangement one, and the next structure is 66 meV per atom less stable.